1.
{"formula": "Nb2PdPb", "functional": "GGA-PBE", "state": "relaxed", "lattice_angstrom": [[-3.0687, 3.0687, 6.0531], [3.0687, -3.0687, 6.0531], [3.0687, 3.0687, -6.0531]], "species": ["Nb", "Nb", "Nb", "Nb", "Pd", "Pd", "Pb", "Pb"], "frac_coords": [[0.0802, 0.6250, 0.9552], [0.3750, 0.3302, 0.4552], [0.6698, 0.1250, 0.0448], [0.8750, 0.9198, 0.5448], [0.0000, 0.0000, 0.0000], [0.7500, 0.2500, 0.5000], [0.2500, 0.7500, 0.5000], [0.5000, 0.5000, 0.0000]], "delta_e_f_ev_per_fu": 5.1, "space_group": "I-42d (122)"}

***

2.
{"formula": "NbPdPb2", "functional": "GGA-PBE", "state": "relaxed", "lattice_angstrom": [[0.0000, 3.4907, 3.4907], [3.4907, 0.0000, 3.4907], [3.4907, 3.4907, 0.0000]], "species": ["Nb", "Pd", "Pb", "Pb"], "frac_coords": [[0.0000, 0.0000, 0.0000], [0.5000, 0.5000, 0.5000], [0.2500, 0.2500, 0.2500], [0.7500, 0.7500, 0.7500]], "delta_e_f_ev_per_fu": 1.3, "space_group": "Fm-3m (225)", "relative_energy_mev_per_atom": 316}

***

3.
{"formula": "NbPdPb2", "functional": "GGA-PBE", "state": "relaxed", "lattice_angstrom": [[3.2151, -4.4559, 0.0000], [3.2151, 4.4559, 0.0000], [-0.9155, 0.0000, 3.0255]], "species": ["Nb", "Pd", "Pb", "Pb"], "frac_coords": [[0.0000, 0.0000, 0.0000], [0.3881, 0.3881, 0.7198], [0.4903, 0.9032, 0.3492], [0.9032, 0.4903, 0.3492]], "delta_e_f_ev_per_fu": 0.4, "space_group": "Cm (8)", "relative_energy_mev_per_atom": 104}

***

4.
{"formula": "NbPdPb2", "functional": "GGA-PBE", "state": "relaxed", "lattice_angstrom": [[6.4052, 0.0000, 0.0000], [0.0000, 3.3821, 0.0000], [-1.6998, 0.0000, 8.7668]], "species": ["Nb", "Nb", "Pd", "Pd", "Pb", "Pb", "Pb", "Pb"], "frac_coords": [[0.1500, 0.2500, 0.0744], [0.8500, 0.7500, 0.9256], [0.3615, 0.7500, 0.9073], [0.6385, 0.2500, 0.0927], [0.0642, 0.2500, 0.6958], [0.4519, 0.7500, 0.3238], [0.5481, 0.2500, 0.6762], [0.9358, 0.7500, 0.3042]], "delta_e_f_ev_per_fu": 0.0, "space_group": "P2_1/m (11)", "relative_energy_mev_per_atom": 2}

***

5.
{"formula": "NbPdPb2", "functional": "GGA-PBE", "state": "relaxed", "lattice_angstrom": [[3.2193, 0.0000, 0.0000], [0.0000, 3.2193, 0.0000], [0.0000, 0.0000, 8.9167]], "species": ["Nb", "Pd", "Pb", "Pb"], "frac_coords": [[0.0000, 0.0000, 0.0000], [0.5000, 0.5000, 0.8239], [0.0000, 0.0000, 0.5963], [0.5000, 0.5000, 0.2508]], "delta_e_f_ev_per_fu": 0.1, "space_group": "P4mm (99)", "relative_energy_mev_per_atom": 34}

***

6.
{"formula": "NbPd2Pb2", "functional": "GGA-PBE", "state": "relaxed", "lattice_angstrom": [[7.6792, 0.0000, 0.0000], [0.0000, 7.6792, 0.0000], [0.0000, 0.0000, 3.4562]], "species": ["Nb", "Nb", "Pd", "Pd", "Pd", "Pd", "Pb", "Pb", "Pb", "Pb"], "frac_coords": [[0.0000, 0.0000, 0.0000], [0.5000, 0.5000, 0.0000], [0.1268, 0.3732, 0.0000], [0.3732, 0.8732, 0.0000], [0.6268, 0.1268, 0.0000], [0.8732, 0.6268, 0.0000], [0.1747, 0.6747, 0.5000], [0.3253, 0.1747, 0.5000], [0.6747, 0.8253, 0.5000], [0.8253, 0.3253, 0.5000]], "delta_e_f_ev_per_fu": 0.8, "space_group": "P4/mbm (127)", "relative_energy_mev_per_atom": 0}

***

7.
{"formula": "NbPd2Pb2", "functional": "GGA-PBE", "state": "relaxed", "lattice_angstrom": [[-2.1258, 2.1258, 6.1500], [2.1258, -2.1258, 6.1500], [2.1258, 2.1258, -6.1500]], "species": ["Nb", "Pd", "Pd", "Pb", "Pb"], "frac_coords": [[0.0000, 0.0000, 0.0000], [0.3977, 0.3977, 0.0000], [0.6023, 0.6023, 0.0000], [0.2500, 0.7500, 0.5000], [0.7500, 0.2500, 0.5000]], "delta_e_f_ev_per_fu": 2.8, "space_group": "I4/mmm (139)", "relative_energy_mev_per_atom": 401}

***

8.
{"formula": "NbPdPb2", "functional": "GGA-PBE", "state": "relaxed", "lattice_angstrom": [[-3.8206, 3.8206, 3.1504], [3.8206, -3.8206, 3.1504], [3.8206, 3.8206, -3.1504]], "species": ["Nb", "Nb", "Pd", "Pd", "Pb", "Pb", "Pb", "Pb"], "frac_coords": [[0.0000, 0.0000, 0.0000], [0.7500, 0.2500, 0.5000], [0.2500, 0.7500, 0.5000], [0.5000, 0.5000, 0.0000], [0.1473, 0.6250, 0.0223], [0.3750, 0.3973, 0.5223], [0.6027, 0.1250, 0.9777], [0.8750, 0.8527, 0.4777]], "delta_e_f_ev_per_fu": 1.8, "space_group": "I-42d (122)", "relative_energy_mev_per_atom": 446}

***

9.
{"formula": "NbPdPb2", "functional": "GGA-PBE", "state": "relaxed", "lattice_angstrom": [[5.4686, -1.5911, 0.0000], [5.4686, 1.5911, 0.0000], [-1.7782, 0.0000, 4.9199]], "species": ["Nb", "Pd", "Pb", "Pb"], "frac_coords": [[0.0000, 0.0000, 0.0000], [0.7093, 0.7093, 0.3584], [0.2453, 0.2453, 0.8757], [0.4670, 0.4670, 0.4851]], "delta_e_f_ev_per_fu": 0.4, "space_group": "Cm (8)", "relative_energy_mev_per_atom": 97}

***

10.
{"formula": "NbPd2Pb", "functional": "GGA-PBE", "state": "relaxed", "lattice_angstrom": [[-3.7331, 3.7331, 2.8740], [3.7331, -3.7331, 2.8740], [3.7331, 3.7331, -2.8740]], "species": ["Nb", "Nb", "Pd", "Pd", "Pd", "Pd", "Pb", "Pb"], "frac_coords": [[0.0000, 0.0000, 0.0000], [0.7500, 0.2500, 0.5000], [0.1053, 0.6250, 0.9803], [0.3750, 0.3553, 0.4803], [0.6447, 0.1250, 0.0197], [0.8750, 0.8947, 0.5197], [0.2500, 0.7500, 0.5000], [0.5000, 0.5000, 0.0000]], "delta_e_f_ev_per_fu": 0.8, "space_group": "I-42d (122)"}

***

11.
{"formula": "Nb2Pd9Pb", "functional": "GGA-PBE", "state": "relaxed", "lattice_angstrom": [[4.0062, 0.0000, 0.0000], [0.0000, 4.0062, 0.0000], [0.0000, 0.0000, 12.1949]], "species": ["Nb", "Nb", "Pd", "Pd", "Pd", "Pd", "Pd", "Pd", "Pd", "Pd", "Pd", "Pb"], "frac_coords": [[0.0000, 0.0000, 0.1664], [0.0000, 0.0000, 0.8336], [0.0000, 0.5000, 0.0000], [0.0000, 0.5000, 0.3181], [0.0000, 0.5000, 0.6819], [0.5000, 0.0000, 0.0000], [0.5000, 0.0000, 0.3181], [0.5000, 0.0000, 0.6819], [0.5000, 0.5000, 0.1592], [0.5000, 0.5000, 0.5000], [0.5000, 0.5000, 0.8408], [0.0000, 0.0000, 0.5000]], "delta_e_f_ev_per_fu": -3.9, "space_group": "P4/mmm (123)"}

***

12.
{"formula": "Nb2RePdPb", "functional": "GGA-PBE", "state": "relaxed", "lattice_angstrom": [[5.0806, 0.0000, 0.0000], [0.0000, 5.0806, 0.0000], [0.0000, 0.0000, 4.9097]], "species": ["Nb", "Nb", "Re", "Pd", "Pb"], "frac_coords": [[0.0000, 0.5000, 0.0000], [0.5000, 0.0000, 0.0000], [0.0000, 0.0000, 0.5000], [0.5000, 0.5000, 0.5000], [0.0000, 0.0000, 0.0000]], "delta_e_f_ev_per_fu": 12.3, "space_group": "P4/mmm (123)"}

***

13.
{"formula": "NbPd2RhPb", "functional": "GGA-PBE", "state": "relaxed", "lattice_angstrom": [[4.9453, 0.0000, 0.0000], [0.0000, 4.9453, 0.0000], [0.0000, 0.0000, 4.7267]], "species": ["Nb", "Pd", "Pd", "Rh", "Pb"], "frac_coords": [[0.0000, 0.0000, 0.0000], [0.0000, 0.5000, 0.0000], [0.5000, 0.0000, 0.0000], [0.0000, 0.0000, 0.5000], [0.5000, 0.5000, 0.5000]], "delta_e_f_ev_per_fu": 3.1, "space_group": "P4/mmm (123)"}

***

14.
{"formula": "Sr2NbPdPb", "functional": "GGA-PBE", "state": "relaxed", "lattice_angstrom": [[6.2005, 0.0000, 0.0000], [0.0000, 6.2005, 0.0000], [0.0000, 0.0000, 5.3851]], "species": ["Sr", "Sr", "Nb", "Pd", "Pb"], "frac_coords": [[0.0000, 0.5000, 0.0000], [0.5000, 0.0000, 0.0000], [0.0000, 0.0000, 0.5000], [0.5000, 0.5000, 0.5000], [0.0000, 0.0000, 0.0000]], "delta_e_f_ev_per_fu": 4.0, "space_group": "P4/mmm (123)"}

***

15.
{"formula": "TaNbPdPb2", "functional": "GGA-PBE", "state": "relaxed", "lattice_angstrom": [[5.4450, 0.0000, 0.0000], [0.0000, 5.4450, 0.0000], [0.0000, 0.0000, 4.8629]], "species": ["Ta", "Nb", "Pd", "Pb", "Pb"], "frac_coords": [[0.0000, 0.0000, 0.0000], [0.0000, 0.0000, 0.5000], [0.5000, 0.5000, 0.0000], [0.0000, 0.5000, 0.5000], [0.5000, 0.0000, 0.5000]], "delta_e_f_ev_per_fu": 5.9, "space_group": "P4/mmm (123)"}

***

16.
{"formula": "Nb2TlPdPb", "functional": "GGA-PBE", "state": "relaxed", "lattice_angstrom": [[5.0239, 0.0000, 0.0000], [0.0000, 5.0239, 0.0000], [0.0000, 0.0000, 5.1214]], "species": ["Nb", "Nb", "Tl", "Pd", "Pb"], "frac_coords": [[0.0000, 0.5000, 0.0000], [0.5000, 0.0000, 0.0000], [0.0000, 0.0000, 0.5000], [0.5000, 0.5000, 0.0000], [0.5000, 0.5000, 0.5000]], "delta_e_f_ev_per_fu": 5.3, "space_group": "P4/mmm (123)"}

***

17.
{"formula": "NbPdPbW2", "functional": "GGA-PBE", "state": "relaxed", "lattice_angstrom": [[4.8515, 0.0000, 0.0000], [0.0000, 4.8515, 0.0000], [0.0000, 0.0000, 5.4550]], "species": ["Nb", "Pd", "Pb", "W", "W"], "frac_coords": [[0.0000, 0.0000, 0.0000], [0.5000, 0.5000, 0.5000], [0.0000, 0.0000, 0.5000], [0.0000, 0.5000, 0.0000], [0.5000, 0.0000, 0.0000]], "delta_e_f_ev_per_fu": 9.9, "space_group": "P4/mmm (123)"}

***

18.
{"formula": "Nb2Pt2Pb", "functional": "GGA-PBE", "state": "relaxed", "lattice_angstrom": [[-2.1257, 2.1257, 5.8190], [2.1257, -2.1257, 5.8190], [2.1257, 2.1257, -5.8190]], "species": ["Nb", "Nb", "Pt", "Pt", "Pb"], "frac_coords": [[0.2500, 0.7500, 0.5000], [0.7500, 0.2500, 0.5000], [0.1115, 0.1115, 0.0000], [0.8885, 0.8885, 0.0000], [0.5000, 0.5000, 0.0000]], "delta_e_f_ev_per_fu": -0.6, "space_group": "I4/mmm (139)"}

***

19.
{"formula": "NbPt3Pb", "functional": "GGA-PBE", "state": "relaxed", "lattice_angstrom": [[4.9513, 0.0000, 0.0000], [0.0000, 4.9513, 0.0000], [0.0000, 0.0000, 4.9513]], "species": ["Nb", "Pt", "Pt", "Pt", "Pb"], "frac_coords": [[0.0000, 0.0000, 0.0000], [0.0000, 0.0000, 0.5000], [0.0000, 0.5000, 0.0000], [0.5000, 0.0000, 0.0000], [0.5000, 0.5000, 0.5000]], "delta_e_f_ev_per_fu": 2.7, "space_group": "Pm-3m (221)", "relative_energy_mev_per_atom": 0}

***

20.
{"formula": "Nb2PtPb", "functional": "GGA-PBE", "state": "relaxed", "lattice_angstrom": [[-1.9943, 1.9943, 10.2782], [1.9943, -1.9943, 10.2782], [1.9943, 1.9943, -10.2782]], "species": ["Nb", "Nb", "Nb", "Nb", "Pt", "Pt", "Pb", "Pb"], "frac_coords": [[0.1229, 0.6250, 0.9979], [0.3750, 0.3729, 0.4979], [0.6271, 0.1250, 0.0021], [0.8750, 0.8771, 0.5021], [0.0000, 0.0000, 0.0000], [0.7500, 0.2500, 0.5000], [0.2500, 0.7500, 0.5000], [0.5000, 0.5000, 0.0000]], "delta_e_f_ev_per_fu": 1.3, "space_group": "I-42d (122)"}